[1]
# Ta2NbH3

A geometry-optimized Ta2NbH3 structure (PBE-GGA, the Alexandria database).

Structure (extended XYZ):
```
12
Lattice="-1.759 2.153 -3.505 2.030 -4.014 -3.485 -3.624 -2.585 3.087" Properties=species:S:1:pos:R:3 pbc="T T T"
H 0.641 -1.932 -4.370
H -1.339 -0.843 0.158
H -3.027 -1.598 -2.314
H -0.370 0.071 -2.620
H -0.326 -2.847 -1.589
H -2.014 -3.603 -4.061
Nb -1.252 1.150 -4.376
Nb 1.523 -3.010 -2.614
Ta -1.200 -1.766 -3.338
Ta -2.215 0.241 -1.596
Ta -1.139 -4.687 -2.308
Ta -2.154 -2.680 -0.565
```

Results
Excess energy over the best structure of this formula in the dataset = 98 meV/atom
Crystal system = monoclinic


[2]
# Ta3NbH8

A geometry-optimized Ta3NbH8 structure (PBE-GGA, the Alexandria database).

Structure (extended XYZ):
```
12
Lattice="4.139 0.000 -1.852 -0.828 4.055 -1.852 -0.001 -0.001 5.551" Properties=species:S:1:pos:R:3 pbc="T T T"
Ta 2.897 1.013 0.924
Ta 1.655 2.028 -1.852
Ta 0.413 3.041 0.924
H 3.304 1.532 -0.920
H 2.470 0.511 2.768
H 2.893 3.544 -1.839
H 0.840 3.544 -0.920
H 0.006 2.522 2.768
H 0.417 0.511 3.686
H 2.059 2.522 1.849
H 1.251 1.532 -0.002
Nb 0.000 0.000 0.000
```

Results
Final energy = -6.20 eV/atom
Crystal system = tetragonal


[3]
# Ta2Nb2H

A geometry-optimized Ta2Nb2H structure (PBE-GGA, the Alexandria database).

Structure (extended XYZ):
```
5
Lattice="3.628 0.000 0.000 0.000 3.628 0.000 1.814 1.814 7.056" Properties=species:S:1:pos:R:3 pbc="T T T"
H 0.000 0.000 0.000
Ta 1.814 1.814 1.251
Ta 3.628 3.628 5.805
Nb 1.814 3.628 3.528
Nb 3.628 1.814 3.528
```

Results
Excess energy over the best structure of this formula in the dataset = 864 meV/atom
Crystal system = tetragonal


[4]
# TaNbH4

A geometry-optimized TaNbH4 structure (PBE-GGA, the Alexandria database).

Structure (extended XYZ):
```
12
Lattice="-1.305 -1.836 2.667 4.609 -0.846 1.672 -2.359 5.102 2.359" Properties=species:S:1:pos:R:3 pbc="T T T"
H -2.081 2.484 4.246
H 0.296 2.163 4.934
H -0.435 2.860 2.870
H 0.649 0.257 1.764
H 3.025 -0.064 2.451
H 1.380 -0.440 3.827
H -0.908 0.006 2.959
H 1.853 2.414 3.739
Ta 1.652 -1.341 2.169
Ta 0.000 0.000 0.000
Nb -1.832 1.633 2.513
Nb 1.125 2.128 2.015
```

Results
Excess energy over the best structure of this formula in the dataset = 162 meV/atom
Crystal system = monoclinic


[5]
# TaNb2H3

A geometry-optimized TaNb2H3 structure (PBE-GGA, the Alexandria database).

Structure (extended XYZ):
```
12
Lattice="-1.979 -0.851 -2.722 2.844 -0.868 -1.796 -0.717 -9.688 3.550" Properties=species:S:1:pos:R:3 pbc="T T T"
H -1.397 -5.291 0.346
H 1.162 -3.642 0.242
H 0.919 -6.934 1.448
H -2.077 -2.487 -2.087
H 0.482 -0.838 -2.191
H -2.551 -8.883 0.256
Ta -0.450 -0.194 -0.619
Ta -0.465 -5.936 -1.226
Nb -0.151 -2.669 -2.308
Nb -0.629 -9.138 0.063
Nb -0.765 -3.460 0.463
Nb -1.003 -6.679 1.642
```

Results
Excess energy over the best structure of this formula in the dataset = 0 meV/atom
Crystal system = orthorhombic


[6]
# TaNb2H4

A geometry-optimized TaNb2H4 structure (PBE-GGA, the Alexandria database).

Structure (extended XYZ):
```
7
Lattice="-1.554 2.418 0.663 -2.980 -0.779 -4.142 -1.306 -2.084 4.537" Properties=species:S:1:pos:R:3 pbc="T T T"
Ta -2.143 -1.431 0.198
Nb -3.489 0.221 -2.421
Nb -2.351 -0.666 3.480
H -2.495 -1.157 -1.628
H -1.791 -1.706 2.024
H -1.859 0.486 0.432
H -3.981 -0.931 0.627
```

Results
Excess energy over the best structure of this formula in the dataset = 107 meV/atom
Crystal system = orthorhombic


[7]
# Ta3NbH7

A geometry-optimized Ta3NbH7 structure (PBE-GGA, the Alexandria database).

Structure (extended XYZ):
```
22
Lattice="5.472 0.074 0.000 -1.815 5.163 0.000 0.000 0.000 6.435" Properties=species:S:1:pos:R:3 pbc="T T T"
H 4.553 0.709 4.826
H 1.805 4.570 3.268
H -0.012 1.968 0.051
H -0.902 4.519 4.826
H -0.896 4.528 1.609
H 1.805 4.570 6.385
H 4.559 0.718 1.609
H -0.012 1.968 3.167
H 1.249 1.789 4.826
H 1.852 0.667 0.051
H 3.669 3.269 6.385
H 2.408 3.448 1.609
H 1.852 0.667 3.167
H 3.669 3.269 3.268
Nb 1.829 2.619 3.218
Nb 1.829 2.619 0.000
Ta 4.525 2.667 1.609
Ta 2.712 0.070 4.826
Ta -0.868 2.570 4.826
Ta 0.945 5.167 1.609
Ta 0.000 0.000 3.218
Ta 0.000 0.000 0.000
```

Results
Final energy = -6.38 eV/atom
Crystal system = orthorhombic


[8]
# Ta2NbH

A geometry-optimized Ta2NbH structure (PBE-GGA, the Alexandria database).

Structure (extended XYZ):
```
8
Lattice="-1.446 -0.210 -5.456 -4.639 -2.930 1.342 -5.079 1.841 -1.648" Properties=species:S:1:pos:R:3 pbc="T T T"
Ta -7.974 -0.634 -5.172
Ta -7.251 -0.529 -2.444
Ta -2.392 0.015 -2.291
Ta -4.711 -1.450 -1.619
Nb 0.000 0.000 0.000
Nb -4.784 0.031 -4.581
H -6.380 -1.330 -1.182
H -3.042 -1.570 -2.057
```

Results
Excess energy over the best structure of this formula in the dataset = 388 meV/atom
Crystal system = cubic


[9]
# TaNb4H

A geometry-optimized TaNb4H structure (PBE-GGA, the Alexandria database).

Structure (extended XYZ):
```
12
Lattice="4.939 0.300 -0.891 -1.558 5.894 -1.746 0.238 0.299 6.330" Properties=species:S:1:pos:R:3 pbc="T T T"
Nb 1.016 4.632 -1.586
Nb 0.571 5.116 1.868
Nb 3.047 1.377 1.826
Nb 3.491 3.862 3.449
Nb 0.127 2.630 0.245
Nb 2.602 1.861 5.279
Nb 4.814 0.643 3.943
Nb -1.196 5.850 -0.250
H 2.162 6.067 -2.340
H 1.456 0.426 6.033
Ta 2.821 4.017 0.620
Ta 0.798 2.476 3.073
```

Results
Final energy = -9.19 eV/atom
Crystal system = monoclinic


[10]
# Ta2NbH8

A geometry-optimized Ta2NbH8 structure (PBE-GGA, the Alexandria database).

Structure (extended XYZ):
```
11
Lattice="-2.175 -1.980 1.413 3.213 -3.136 0.552 0.605 4.491 3.458" Properties=species:S:1:pos:R:3 pbc="T T T"
H 0.704 0.293 5.261
H 0.940 -0.917 0.161
H 1.518 0.536 3.089
H 0.125 -1.161 2.334
H -0.020 2.038 2.825
H 0.283 0.486 1.117
H 1.361 -1.111 4.305
H 1.664 -2.662 2.598
Ta -0.337 0.300 3.670
Ta 1.980 -0.925 1.753
Nb -1.087 -0.990 0.706
```

Results
Final energy = -5.46 eV/atom
Crystal system = orthorhombic


[11]
# Ta2NbH2

A geometry-optimized Ta2NbH2 structure (PBE-GGA, the Alexandria database).

Structure (extended XYZ):
```
10
Lattice="4.932 -0.176 -2.632 -3.120 4.617 -0.182 -0.209 0.149 5.569" Properties=species:S:1:pos:R:3 pbc="T T T"
H 1.255 3.630 2.754
H 3.124 0.397 -0.703
H -1.521 4.194 3.458
H 0.348 0.961 0.001
Ta -0.105 0.075 2.785
Ta -1.665 2.383 2.694
Ta 0.906 2.221 -1.407
Ta 0.801 2.295 1.377
Nb -1.479 3.947 -0.034
Nb 3.082 0.644 2.789
```

Results
Excess energy over the best structure of this formula in the dataset = 86 meV/atom
Crystal system = monoclinic


[12]
# Ta2NbH3

A geometry-optimized Ta2NbH3 structure (PBE-GGA, the Alexandria database).

Structure (extended XYZ):
```
12
Lattice="3.477 0.000 0.000 0.000 3.463 0.000 0.000 0.000 10.312" Properties=species:S:1:pos:R:3 pbc="T T T"
H 3.442 0.000 1.751
H 0.035 1.732 3.405
H 3.442 0.000 8.561
H 1.679 1.732 0.000
H 1.798 0.000 5.156
H 0.035 1.732 6.907
Ta 0.913 0.000 6.879
Ta 0.913 0.000 3.433
Ta 2.564 1.732 1.723
Ta 2.564 1.732 8.589
Nb 2.652 1.732 5.156
Nb 0.826 0.000 0.000
```

Results
Excess energy over the best structure of this formula in the dataset = 0 meV/atom
Crystal system = orthorhombic